(1)
# Ti2BW, optimized geometry, DFT PBE
data_Ti2BW
_symmetry_space_group_name_H-M 'P 1'
_symmetry_Int_Tables_number 1
_cell_length_a 7.072
_cell_length_b 7.072
_cell_length_c 4.559
_cell_angle_alpha 90.00
_cell_angle_beta 90.00
_cell_angle_gamma 90.00
loop_
_symmetry_equiv_pos_as_xyz
'x,y,z'
loop_
_atom_site_label
_atom_site_fract_x
_atom_site_fract_y
_atom_site_fract_z
_atom_site_occupancy
Ti1 0.185 0.250 0.125 1
Ti2 0.250 0.685 0.375 1
Ti3 0.250 0.815 0.875 1
Ti4 0.315 0.250 0.625 1
Ti5 0.685 0.750 0.625 1
Ti6 0.750 0.185 0.875 1
Ti7 0.750 0.315 0.375 1
Ti8 0.815 0.750 0.125 1
B1 0.000 0.000 0.000 1
B2 0.000 0.500 0.250 1
B3 0.500 0.000 0.750 1
B4 0.500 0.500 0.500 1
W1 0.000 0.000 0.500 1
W2 0.000 0.500 0.750 1
W3 0.500 0.000 0.250 1
W4 0.500 0.500 0.000 1
# Formation energy in meV/atom: 247
# Crystal system: tetragonal
# Uncorrected energy in eV/atom: -8.61
# Calculated density in g/cm³: 8.5

=====

(2)
# NaNdZnPb, optimized geometry, DFT PBE
data_NaNdZnPb
_symmetry_space_group_name_H-M 'P 1'
_symmetry_Int_Tables_number 1
_cell_length_a 7.522
_cell_length_b 7.522
_cell_length_c 7.522
_cell_angle_alpha 90.00
_cell_angle_beta 90.00
_cell_angle_gamma 90.00
loop_
_symmetry_equiv_pos_as_xyz
'x,y,z'
loop_
_atom_site_label
_atom_site_fract_x
_atom_site_fract_y
_atom_site_fract_z
_atom_site_occupancy
Na1 0.000 0.000 0.000 1
Na2 0.000 0.500 0.500 1
Na3 0.500 0.000 0.500 1
Na4 0.500 0.500 0.000 1
Nd1 0.000 0.000 0.500 1
Nd2 0.000 0.500 0.000 1
Nd3 0.500 0.000 0.000 1
Nd4 0.500 0.500 0.500 1
Zn1 0.250 0.250 0.250 1
Zn2 0.250 0.750 0.750 1
Zn3 0.750 0.250 0.750 1
Zn4 0.750 0.750 0.250 1
Pb1 0.250 0.250 0.750 1
Pb2 0.250 0.750 0.250 1
Pb3 0.750 0.250 0.250 1
Pb4 0.750 0.750 0.750 1
# Formation energy in meV/atom: -256
# Crystal system: cubic
# Uncorrected energy in eV/atom: -3.02
# Calculated density in g/cm³: 6.9

=====

(3)
# La2SiNi, optimized geometry, DFT PBE
data_La2SiNi
_symmetry_space_group_name_H-M 'P 1'
_symmetry_Int_Tables_number 1
_cell_length_a 4.483
_cell_length_b 4.218
_cell_length_c 5.589
_cell_angle_alpha 90.00
_cell_angle_beta 113.50
_cell_angle_gamma 90.00
loop_
_symmetry_equiv_pos_as_xyz
'x,y,z'
loop_
_atom_site_label
_atom_site_fract_x
_atom_site_fract_y
_atom_site_fract_z
_atom_site_occupancy
La1 0.000 0.000 0.000 1
La2 0.296 0.500 0.593 1
Si1 0.598 0.500 0.195 1
Ni1 0.703 0.000 0.406 1
# Crystal system: monoclinic
# Uncorrected energy in eV/atom: -5.82
# Calculated density in g/cm³: 6.2

=====

(4)
# Li2AlSb2, optimized geometry, DFT PBE
data_Li2AlSb2
_symmetry_space_group_name_H-M 'P 1'
_symmetry_Int_Tables_number 1
_cell_length_a 4.498
_cell_length_b 4.498
_cell_length_c 11.747
_cell_angle_alpha 90.00
_cell_angle_beta 90.00
_cell_angle_gamma 90.00
loop_
_symmetry_equiv_pos_as_xyz
'x,y,z'
loop_
_atom_site_label
_atom_site_fract_x
_atom_site_fract_y
_atom_site_fract_z
_atom_site_occupancy
Li1 0.000 0.500 0.250 1
Li2 0.000 0.500 0.750 1
Li3 0.500 0.000 0.250 1
Li4 0.500 0.000 0.750 1
Al1 0.000 0.000 0.000 1
Al2 0.500 0.500 0.500 1
Sb1 0.000 0.000 0.384 1
Sb2 0.000 0.000 0.616 1
Sb3 0.500 0.500 0.116 1
Sb4 0.500 0.500 0.884 1
# Excess energy over the best structure of this formula in the dataset in kJ/mol of formula units: 89
# Crystal system: tetragonal
# Uncorrected energy in eV/atom: -3.20
# Calculated density in g/cm³: 4.0

=====

(5)
# Pm5YEr3, optimized geometry, DFT PBE
data_Pm5YEr3
_symmetry_space_group_name_H-M 'P 1'
_symmetry_Int_Tables_number 1
_cell_length_a 9.699
_cell_length_b 9.699
_cell_length_c 9.699
_cell_angle_alpha 123.10
_cell_angle_beta 123.10
_cell_angle_gamma 84.71
loop_
_symmetry_equiv_pos_as_xyz
'x,y,z'
loop_
_atom_site_label
_atom_site_fract_x
_atom_site_fract_y
_atom_site_fract_z
_atom_site_occupancy
Pm1 0.000 0.000 0.000 1
Pm2 0.071 0.571 0.904 1
Pm3 0.166 0.071 0.500 1
Pm4 0.334 0.834 0.904 1
Pm5 0.429 0.334 0.500 1
Pm6 0.500 0.500 0.000 1
Pm7 0.571 0.666 0.500 1
Pm8 0.666 0.166 0.096 1
Pm9 0.834 0.929 0.500 1
Pm10 0.929 0.429 0.096 1
Y1 0.250 0.750 0.500 1
Y2 0.750 0.250 0.500 1
Er1 0.110 0.390 0.500 1
Er2 0.250 0.250 0.000 1
Er3 0.390 0.890 0.280 1
Er4 0.610 0.110 0.720 1
Er5 0.750 0.750 0.000 1
Er6 0.890 0.610 0.500 1
# Formation energy in meV/atom: 315
# Excess energy over the best structure of this formula in the dataset in kJ/mol of formula units: 119
# Crystal system: tetragonal
# Uncorrected energy in eV/atom: -4.56
# Calculated density in g/cm³: 7.1

=====

(6)
# Tl3BiH2Pd9, optimized geometry, DFT PBE
data_Tl3BiH2Pd9
_symmetry_space_group_name_H-M 'P 1'
_symmetry_Int_Tables_number 1
_cell_length_a 5.745
_cell_length_b 5.745
_cell_length_c 9.157
_cell_angle_alpha 90.00
_cell_angle_beta 90.00
_cell_angle_gamma 120.00
loop_
_symmetry_equiv_pos_as_xyz
'x,y,z'
loop_
_atom_site_label
_atom_site_fract_x
_atom_site_fract_y
_atom_site_fract_z
_atom_site_occupancy
Tl1 0.000 0.000 0.000 1
Tl2 0.333 0.667 0.715 1
Tl3 0.667 0.333 0.285 1
Bi1 0.000 0.000 0.500 1
H1 0.333 0.667 0.116 1
H2 0.667 0.333 0.884 1
Pd1 0.000 0.500 0.000 1
Pd2 0.169 0.339 0.263 1
Pd3 0.169 0.831 0.263 1
Pd4 0.339 0.169 0.737 1
Pd5 0.500 0.000 0.000 1
Pd6 0.500 0.500 0.000 1
Pd7 0.661 0.831 0.263 1
Pd8 0.831 0.169 0.737 1
Pd9 0.831 0.661 0.737 1
# Crystal system: trigonal
# Uncorrected energy in eV/atom: -4.46
# Calculated density in g/cm³: 11.3

=====

(7)
# TaAsBr3, optimized geometry, DFT PBE
data_TaAsBr3
_symmetry_space_group_name_H-M 'P 1'
_symmetry_Int_Tables_number 1
_cell_length_a 5.319
_cell_length_b 5.319
_cell_length_c 5.319
_cell_angle_alpha 90.00
_cell_angle_beta 90.00
_cell_angle_gamma 90.00
loop_
_symmetry_equiv_pos_as_xyz
'x,y,z'
loop_
_atom_site_label
_atom_site_fract_x
_atom_site_fract_y
_atom_site_fract_z
_atom_site_occupancy
Ta1 0.000 0.000 0.000 1
As1 0.500 0.500 0.500 1
Br1 0.000 0.500 0.500 1
Br2 0.500 0.000 0.500 1
Br3 0.500 0.500 0.000 1
# Excess energy over the best structure of this formula in the dataset in kJ/mol of formula units: 353
# Crystal system: cubic
# Uncorrected energy in eV/atom: -3.26
# Calculated density in g/cm³: 5.5

=====

(8)
# Ac2ScZn12Cu3, optimized geometry, DFT PBE
data_Ac2ScZn12Cu3
_symmetry_space_group_name_H-M 'P 1'
_symmetry_Int_Tables_number 1
_cell_length_a 8.356
_cell_length_b 8.356
_cell_length_c 8.356
_cell_angle_alpha 59.96
_cell_angle_beta 59.96
_cell_angle_gamma 59.96
loop_
_symmetry_equiv_pos_as_xyz
'x,y,z'
loop_
_atom_site_label
_atom_site_fract_x
_atom_site_fract_y
_atom_site_fract_z
_atom_site_occupancy
Ac1 0.102 0.102 0.102 1
Ac2 0.898 0.898 0.898 1
Sc1 0.500 0.500 0.500 1
Zn1 0.087 0.632 0.632 1
Zn2 0.181 0.181 0.648 1
Zn3 0.181 0.648 0.181 1
Zn4 0.352 0.819 0.819 1
Zn5 0.368 0.368 0.913 1
Zn6 0.368 0.913 0.368 1
Zn7 0.632 0.087 0.632 1
Zn8 0.632 0.632 0.087 1
Zn9 0.648 0.181 0.181 1
Zn10 0.819 0.352 0.819 1
Zn11 0.819 0.819 0.352 1
Zn12 0.913 0.368 0.368 1
Cu1 0.000 0.500 0.500 1
Cu2 0.500 0.000 0.500 1
Cu3 0.500 0.500 0.000 1
# Formation energy in meV/atom: 203
# Crystal system: trigonal
# Uncorrected energy in eV/atom: -2.14
# Calculated density in g/cm³: 5.9